Ba2LiAu: relaxed, GGA-PBEsol.

Its space group is P4/mmm. The value obtained for the theoretical density is 6075 kg/m³. The value obtained for the energy above the most stable polymorph in this dataset is 1.454 kcal/mol of atoms.

Unit cell a=4.121 b=5.634 c=5.634 alpha=90.00 beta=90.00 gamma=90.00
Sites, in units of the cell vectors:
Au: 0.500 0.000 0.000
Ba: 0.000 0.000 0.500
Ba: 0.000 0.500 0.000
Li: 0.500 0.500 0.500